DFT (GGA-PBEsol) results for Ta2FeIr after structural relaxation.

ΔE_f	-19.1	kJ per mole of atoms
Fermi-level density of states	0.958	states/eV/atom
DFT total energy	-11.17	eV per atom

Structure (POSCAR):
```
Ta2FeIr
1.0
2.796 0.000 0.000
0.000 4.699 0.048
-1.398 -0.931 4.560
Ta Ir Fe
2 1 1
Direct
0.011 0.038 0.021
0.233 0.703 0.467
0.767 0.230 0.533
0.489 0.530 0.979
```